Entry from Alexandria: K3BP3H3O12 after structural relaxation (GGA-PBE).

Computed properties:
Total magnetization: 0.0049 μB/atom
Crystal system: monoclinic
Total DFT energy (no corrections): -6.41 eV per atom
Space group: C2/c (15)

```
K3BP3H3O12
1.0
7.6339 0.0000 0.0000
3.8169 12.9353 -0.2924
3.8169 5.5622 12.0339
O K B H P
48 12 4 12 12
Cartesian
6.4698 6.0533 10.7724
6.4698 8.7577 7.1323
9.6237 6.3150 8.0280
10.5773 12.0455 9.6707
12.6604 13.1225 10.6825
5.6441 12.1826 3.7135
7.5298 9.7583 9.2797
10.9285 14.5418 9.4069
3.9891 8.4352 0.7513
3.6087 7.2157 6.3208
5.6441 10.0016 1.8649
8.5074 2.7967 3.7999
8.3797 10.4362 6.9993
6.7604 15.7008 7.9416
7.7380 13.4449 3.1166
11.6230 13.7489 4.8271
11.6591 11.2818 5.4207
7.7380 8.7392 2.4618
7.1115 13.2045 8.2054
12.3099 13.0715 8.1053
7.5298 5.0527 8.6250
5.9958 12.8325 6.1119
12.1966 17.3102 10.6130
6.7748 3.8228 2.2345
8.7980 9.7399 4.6092
6.4243 3.8738 4.8117
8.7980 12.4442 0.9692
8.8435 14.6238 6.9299
9.2545 7.3882 3.8917
9.2719 5.6650 5.6297
2.9578 5.4260 3.6363
5.4376 1.8605 1.9791
3.6447 4.7486 6.9145
9.8128 14.9138 11.5005
3.0711 1.1874 1.1286
5.4550 3.5837 0.2411
2.6073 5.3750 1.0591
9.6237 8.4960 9.8767
8.1562 5.2930 3.5362
6.0132 11.1093 7.8499
11.2786 10.0623 10.9903
4.0252 10.9023 0.1577
11.2425 7.5953 11.5839
9.8302 16.6370 9.7625
6.8881 8.0614 4.7422
4.6905 6.4521 2.0709
4.3393 3.9557 2.3346
8.4930 14.6748 9.5071
6.1355 8.7834 11.3976
3.8502 2.9363 4.8553
7.6007 12.1850 10.7261
11.7468 13.3345 1.4747
9.1322 9.7142 0.3440
3.5210 5.1630 10.2669
9.1322 12.4700 5.2344
11.4176 15.5613 6.8862
11.1549 9.6480 7.6378
7.6671 6.3125 1.0155
4.1129 8.8496 4.1038
6.1355 6.0276 6.5072
9.3109 5.9484 4.1843
5.9569 12.5491 7.5573
5.4939 3.3004 1.6865
9.7738 15.1972 10.0551
4.3812 7.3173 1.5027
6.5185 9.4833 2.0980
12.0151 14.8668 4.0757
8.7493 5.7967 8.2611
8.4669 10.0491 6.0277
2.9839 0.8003 0.1569
10.8866 11.1803 10.2389
8.7493 9.0143 9.6436
12.2838 17.6973 11.5847
6.8008 8.4485 5.7139
6.5185 12.7009 3.4804
3.2527 3.6307 7.6659
3.5874 5.3254 2.1968
7.4043 3.9233 3.6739
7.1012 4.8540 10.0767
4.8565 12.4856 5.0432
10.4112 8.7990 11.2064
8.1665 13.6436 1.6648
10.4112 6.0120 6.6983
4.8565 9.6986 0.5352
11.6804 13.1721 9.5447
8.1665 8.5405 3.9136
7.8634 14.5742 8.0676
7.1012 9.9570 7.8280
```